Below is a relaxed GaH2O3 crystal, with properties calculated at the PBE level.

a b c (Å): 5.030 2.987 7.686
angles (deg): 90.00 97.73 90.00
Fractional coordinates of all 12 atoms:
1 Ga 0.015 0.250 0.314
2 Ga 0.985 0.750 0.686
3 H 0.241 0.250 0.046
4 H 0.381 0.250 0.794
5 H 0.619 0.750 0.206
6 H 0.759 0.750 0.954
7 O 0.184 0.750 0.473
8 O 0.190 0.250 0.812
9 O 0.303 0.250 0.175
10 O 0.697 0.750 0.825
11 O 0.810 0.750 0.188
12 O 0.816 0.250 0.527

Final energy: -61.84 eV/cell